A:
CaCrSe2 after structural relaxation. Source: Alexandria, functional GGA-PBEsol.

Geometry as CIF:
```
data_CaCrSe2
_symmetry_space_group_name_H-M 'R -3 m'
_symmetry_Int_Tables_number 166
_symmetry_space_group_name_Hall '-R 3 2"'
_cell_length_a 3.9552
_cell_length_b 3.9552
_cell_length_c 18.8691
_cell_angle_alpha 90.00
_cell_angle_beta 90.00
_cell_angle_gamma 120.00
loop_
_atom_site_label
_atom_site_type_symbol
_atom_site_fract_x
_atom_site_fract_y
_atom_site_fract_z
_atom_site_occupancy
Ca1 Ca 0.0000 0.0000 0.0000 1
Cr1 Cr 0.0000 0.0000 0.5000 1
Se1 Se 0.0000 0.0000 0.2388 1
```

Calculated values
ρ	4872	kg/m³

B:
CaCrSe2 after structural relaxation. Source: Alexandria, functional GGA-PBEsol.

Geometry as CIF:
```
data_CaCrSe2
_symmetry_space_group_name_H-M 'P 4/m m m'
_symmetry_Int_Tables_number 123
_symmetry_space_group_name_Hall '-P 4 2'
_cell_length_a 3.943
_cell_length_b 3.943
_cell_length_c 5.583
_cell_angle_alpha 90.00
_cell_angle_beta 90.00
_cell_angle_gamma 90.00
loop_
_atom_site_label
_atom_site_type_symbol
_atom_site_fract_x
_atom_site_fract_y
_atom_site_fract_z
_atom_site_occupancy
Ca1 Ca 0.000 0.000 0.000 1
Cr1 Cr 0.500 0.500 0.500 1
Se1 Se 0.000 0.000 0.500 1
Se2 Se 0.500 0.500 0.000 1
```

Calculated values
ρ	4782	kg/m³

Looking at the structures above, A is most stable, and the difference to the next one is 14 meV per atom.